PrAl2RuO8 PBE optimized geometry; formation energy (no corrections) = -45.999 kcal/mol of atoms; volume = 11.50 Å³ per atom
1.0
-0.6132 -3.1031 -3.3976
3.3097 -2.7203 1.7620
-4.3903 -3.0339 3.5631
O Pr Al Ru
8 1 2 1
direct
0.2120 0.7857 0.7934 O
0.7880 0.2143 0.2066 O
0.7880 0.2143 0.7934 O
0.2120 0.7857 0.2066 O
0.6574 0.6595 0.5000 O
0.3026 0.3007 0.0000 O
0.6974 0.6993 0.0000 O
0.3426 0.3405 0.5000 O
0.0000 0.0000 0.5000 Pr
0.5000 0.5000 0.2342 Al
0.5000 0.5000 0.7658 Al
0.0000 0.0000 0.0000 Ru

=====

PrAlSO2 PBE optimized geometry; formation energy (no corrections) = -61.258 kcal/mol of atoms; volume = 15.94 Å³ per atom
1.0
3.7699 0.0000 0.0000
0.0000 3.7700 0.0000
0.0000 0.0001 5.6096
O Al Pr S
2 1 1 1
direct
0.5000 0.0000 0.9355 O
0.0000 0.5000 0.9356 O
0.0000 0.0000 0.0247 Al
0.5000 0.5000 0.6692 Pr
0.0000 0.0000 0.4350 S

=====

PrAl2SbO8 PBE optimized geometry; formation energy (no corrections) = -45.717 kcal/mol of atoms; volume = 12.72 Å³ per atom
1.0
5.8258 0.2771 0.0000
-2.3356 5.3443 0.0000
-1.7451 -2.8107 4.8033
O Pr Sb Al
8 1 1 2
direct
0.7105 0.0466 0.6639 O
0.3193 0.1195 0.8002 O
0.9534 0.6173 0.6639 O
0.3193 0.5192 0.1998 O
0.8805 0.6807 0.1998 O
0.4808 0.6807 0.8002 O
0.9534 0.2895 0.3361 O
0.3827 0.0466 0.3361 O
0.0000 0.0000 0.0000 Pr
0.2500 0.7500 0.5000 Sb
0.5000 0.5000 0.0000 Al
0.7500 0.2500 0.5000 Al

=====

Pr3ScAl2O9 PBE optimized geometry; formation energy (no corrections) = -74.533 kcal/mol of atoms; volume = 11.65 Å³ per atom
1.0
-3.6045 1.7844 -3.7088
2.3683 -4.8927 -0.6204
-5.0080 -2.8664 3.4880
Pr O Al Sc
3 9 2 1
direct
0.3333 0.6667 0.6777 Pr
0.6667 0.3333 0.3223 Pr
0.0000 0.0000 0.0000 Pr
0.1727 0.3454 0.3211 O
0.3454 0.1727 0.6789 O
0.6546 0.8273 0.3211 O
0.5000 0.0000 0.0000 O
0.8273 0.1727 0.6789 O
0.1727 0.8273 0.3211 O
0.0000 0.5000 0.0000 O
0.8273 0.6546 0.6789 O
0.5000 0.5000 0.0000 O
0.6667 0.3333 0.8381 Al
0.3333 0.6667 0.1619 Al
0.0000 0.0000 0.5000 Sc

=====

PrAlSeO2 PBE optimized geometry; formation energy (no corrections) = -59.059 kcal/mol of atoms; volume = 17.02 Å³ per atom
1.0
-1.7241 -2.3224 -2.4702
-1.5112 -1.9544 2.8922
-4.6929 3.5444 -0.0569
Se Pr O Al
1 1 2 1
direct
0.0000 0.0000 0.4319 Se
0.5000 0.5000 0.6825 Pr
0.0000 0.5000 0.9338 O
0.5000 0.0000 0.9338 O
0.0000 0.0000 0.0179 Al

=====

PrSmAlO4 PBE optimized geometry; formation energy (no corrections) = -69.453 kcal/mol of atoms; volume = 12.40 Å³ per atom
1.0
-3.2861 -0.6869 -1.6210
-0.6688 -2.6881 2.4950
-0.7513 5.8599 3.3269
Pr O Al Sm
1 4 1 1
direct
0.6499 0.6499 0.2997 Pr
0.9981 0.4981 0.9962 O
0.4981 0.9981 0.9962 O
0.1616 0.1616 0.3231 O
0.8410 0.8410 0.6819 O
0.9989 0.9989 0.9977 Al
0.3526 0.3526 0.7052 Sm

=====

Pr2AlSnO6 PBE optimized geometry; formation energy (no corrections) = -61.221 kcal/mol of atoms; volume = 13.23 Å³ per atom
1.0
5.6007 0.0000 0.0016
0.0000 5.8468 0.0000
0.0524 0.0000 8.0809
O Al Pr Sn
12 2 4 2
direct
0.6049 0.0380 0.2296 O
0.6832 0.2789 0.9401 O
0.1832 0.2211 0.4401 O
0.2208 0.1844 0.0515 O
0.8168 0.7789 0.5599 O
0.1049 0.4620 0.7296 O
0.7208 0.3156 0.5515 O
0.8951 0.5380 0.2704 O
0.2792 0.6844 0.4485 O
0.3951 0.9620 0.7704 O
0.7792 0.8156 0.9485 O
0.3168 0.7211 0.0599 O
0.5000 0.0000 0.0000 Al
0.0000 0.5000 0.5000 Al
0.5167 0.5562 0.7494 Pr
0.0167 0.9438 0.2494 Pr
0.9833 0.0562 0.7506 Pr
0.4833 0.4438 0.2506 Pr
0.5000 0.0000 0.5000 Sn
0.0000 0.5000 0.0000 Sn

=====

SrPrAl3O7 PBE optimized geometry; formation energy (no corrections) = -72.549 kcal/mol of atoms; volume = 13.78 Å³ per atom
1.0
7.9365 0.0073 0.0000
0.0001 7.9365 0.0000
0.0000 0.0000 5.2506
O Al Sr Pr
14 6 2 2
direct
0.0000 0.0000 0.8378 O
0.3685 0.6315 0.7050 O
0.6611 0.9075 0.8063 O
0.4173 0.8342 0.1867 O
0.0925 0.3389 0.8063 O
0.1519 0.1519 0.2937 O
0.5827 0.1658 0.1867 O
0.1658 0.5827 0.1867 O
0.5000 0.5000 0.1891 O
0.3389 0.0925 0.8063 O
0.6315 0.3685 0.7050 O
0.8481 0.8481 0.2937 O
0.8342 0.4173 0.1867 O
0.9075 0.6611 0.8063 O
0.3580 0.6420 0.0385 Al
0.0000 0.5000 0.9988 Al
0.5000 0.0000 0.9988 Al
0.1446 0.1446 0.9622 Al
0.8554 0.8554 0.9622 Al
0.6420 0.3580 0.0385 Al
0.8388 0.1612 0.4895 Sr
0.1612 0.8388 0.4895 Sr
0.6619 0.6619 0.5127 Pr
0.3381 0.3381 0.5127 Pr

=====

SrPrAlO4 PBE optimized geometry; formation energy (no corrections) = -71.736 kcal/mol of atoms; volume = 12.76 Å³ per atom
1.0
-0.2758 -4.9019 -4.7229
-1.3444 -6.6756 0.1970
-1.7820 6.2996 1.8841
O Al Sr Pr
4 1 1 1
direct
0.9944 0.4944 0.5000 O
0.1645 0.1645 0.0000 O
0.8389 0.8389 0.0000 O
0.4944 0.9944 0.5000 O
0.0048 0.0048 0.0000 Al
0.6439 0.6439 0.0000 Sr
0.3590 0.3590 0.0000 Pr

=====

Tb2PrAlO PBE optimized geometry; formation energy (no corrections) = -30.866 kcal/mol of atoms; volume = 22.57 Å³ per atom
1.0
-2.4173 -4.2015 -1.1801
2.0749 -2.2212 3.6578
-3.6059 1.2816 2.8237
Al Pr O Tb
1 1 1 2
direct
0.5000 0.5000 0.5000 Al
0.5000 0.0000 0.0000 Pr
0.0000 0.0000 0.0000 O
0.0000 0.0000 0.5000 Tb
0.0000 0.5000 0.0000 Tb

=====

TbPr2AlO PBE optimized geometry; formation energy (no corrections) = -30.239 kcal/mol of atoms; volume = 23.66 Å³ per atom
1.0
-0.4703 4.6970 0.2468
-3.0254 -0.5106 3.9516
3.9532 0.2352 3.0571
O Al Tb Pr
1 1 1 2
direct
0.0000 0.0000 0.0000 O
0.5000 0.5000 0.5000 Al
0.5000 0.0000 0.0000 Tb
0.0000 0.0000 0.5000 Pr
0.0000 0.5000 0.0000 Pr

=====

PrAlTcO6 PBE optimized geometry; formation energy (no corrections) = -54.120 kcal/mol of atoms; volume = 12.84 Å³ per atom
1.0
5.0927 0.0000 0.0000
-2.5463 4.4104 0.0000
0.0000 0.0000 10.2905
O Al Pr Tc
12 2 2 2
direct
0.3762 0.0034 0.1465 O
0.6238 0.6272 0.6465 O
0.9966 0.6238 0.3535 O
0.6238 0.9966 0.8535 O
0.0034 0.6272 0.8535 O
0.0034 0.3762 0.6465 O
0.3728 0.9966 0.6465 O
0.3762 0.3728 0.3535 O
0.6272 0.6238 0.1465 O
0.6272 0.0034 0.3535 O
0.9966 0.3728 0.1465 O
0.3728 0.3762 0.8535 O
0.3333 0.6667 0.7500 Al
0.6667 0.3333 0.2500 Al
0.0000 0.0000 0.0000 Pr
0.0000 0.0000 0.5000 Pr
0.6667 0.3333 0.7500 Tc
0.3333 0.6667 0.2500 Tc

=====

PrAl2TcO8 PBE optimized geometry; formation energy (no corrections) = -50.441 kcal/mol of atoms; volume = 11.56 Å³ per atom
1.0
-2.9509 -1.5707 3.2374
-0.1537 -4.2284 -1.9277
4.9618 -1.8374 3.6326
Pr O Tc Al
1 8 1 2
direct
0.0000 0.0000 0.5000 Pr
0.2119 0.7866 0.2040 O
0.3365 0.3345 0.5000 O
0.7881 0.2134 0.7960 O
0.6635 0.6655 0.5000 O
0.2119 0.7866 0.7960 O
0.7881 0.2134 0.2040 O
0.2951 0.2939 0.9999 O
0.7049 0.7061 0.0001 O
0.0000 0.0000 0.0000 Tc
0.4999 0.4999 0.7507 Al
0.5001 0.5001 0.2493 Al

=====

PrAlTeO6 PBE optimized geometry; formation energy (no corrections) = -53.763 kcal/mol of atoms; volume = 13.08 Å³ per atom
1.0
5.1150 0.0000 0.0000
-2.5575 4.4298 0.0000
0.0000 0.0000 10.3921
O Al Pr Te
12 2 2 2
direct
0.3755 0.3726 0.3541 O
0.3726 0.3755 0.8541 O
0.6274 0.0029 0.3541 O
0.6274 0.6245 0.1459 O
0.0029 0.6274 0.8541 O
0.6245 0.6274 0.6459 O
0.9971 0.3726 0.1459 O
0.9971 0.6245 0.3541 O
0.3726 0.9971 0.6459 O
0.3755 0.0029 0.1459 O
0.0029 0.3755 0.6459 O
0.6245 0.9971 0.8541 O
0.6667 0.3333 0.2500 Al
0.3333 0.6667 0.7500 Al
0.0000 0.0000 0.5000 Pr
0.0000 0.0000 0.0000 Pr
0.3333 0.6667 0.2500 Te
0.6667 0.3333 0.7500 Te

=====

Pr2AlTlO6 PBE optimized geometry; formation energy (no corrections) = -58.852 kcal/mol of atoms; volume = 13.26 Å³ per atom
1.0
5.5999 0.0000 -0.0112
0.0000 5.8673 0.0000
0.0343 0.0000 8.0710
O Al Pr Tl
12 2 4 2
direct
0.3240 0.7207 0.0631 O
0.6760 0.2793 0.9369 O
0.1085 0.4584 0.7270 O
0.7803 0.8211 0.9484 O
0.3915 0.9584 0.7730 O
0.7197 0.3211 0.5516 O
0.8240 0.7793 0.5631 O
0.6085 0.0416 0.2270 O
0.1760 0.2207 0.4369 O
0.8915 0.5416 0.2730 O
0.2197 0.1789 0.0516 O
0.2803 0.6789 0.4484 O
0.5000 0.0000 0.0000 Al
0.0000 0.5000 0.5000 Al
0.4827 0.4409 0.2513 Pr
0.5173 0.5591 0.7487 Pr
0.9827 0.0591 0.7513 Pr
0.0173 0.9409 0.2487 Pr
0.5000 0.0000 0.5000 Tl
0.0000 0.5000 0.0000 Tl

=====

PrUAlO6 PBE optimized geometry; formation energy (no corrections) = -72.439 kcal/mol of atoms; volume = 14.03 Å³ per atom
1.0
5.3235 0.0000 0.0000
-2.6617 4.6103 0.0000
0.0000 0.0000 10.2906
O Al U Pr
12 2 2 2
direct
0.6475 0.6263 0.6444 O
0.3525 0.3737 0.3556 O
0.3737 0.0212 0.6444 O
0.9788 0.6263 0.8556 O
0.3737 0.3525 0.8556 O
0.9788 0.3525 0.6444 O
0.6263 0.6475 0.1444 O
0.3525 0.9788 0.1444 O
0.0212 0.3737 0.1444 O
0.0212 0.6475 0.3556 O
0.6475 0.0212 0.8556 O
0.6263 0.9788 0.3556 O
0.6667 0.3333 0.7500 Al
0.3333 0.6667 0.2500 Al
0.6667 0.3333 0.2500 U
0.3333 0.6667 0.7500 U
0.0000 0.0000 0.5000 Pr
0.0000 0.0000 0.0000 Pr

=====

PrUAl2O8 PBE optimized geometry; formation energy (no corrections) = -64.355 kcal/mol of atoms; volume = 13.13 Å³ per atom
1.0
-2.9039 3.2047 -1.8033
-3.6616 -2.9328 -0.1472
-1.4622 2.0114 6.7492
O Al U Pr
8 2 1 1
direct
0.6533 0.6563 0.4345 O
0.2077 0.7907 0.2166 O
0.6826 0.6837 0.9927 O
0.7918 0.2095 0.2171 O
0.2082 0.7905 0.7829 O
0.7923 0.2093 0.7834 O
0.3174 0.3163 0.0073 O
0.3467 0.3437 0.5655 O
0.4696 0.4694 0.7999 Al
0.5304 0.5306 0.2001 Al
0.0000 0.0000 0.0000 U
0.0000 0.0000 0.5000 Pr